ThSc2HgC | PBE | relaxed

Unit cell a=4.633 b=4.633 c=5.016 alpha=90.00 beta=90.00 gamma=90.00
Sites, in units of the cell vectors:
Th 0.000 0.000 0.000
Sc 0.000 0.500 0.500
Sc 0.500 0.000 0.500
Hg 0.500 0.500 0.000
C 0.000 0.000 0.500

---

ScTi2HgC | PBE | relaxed

Properties
* energy relative to the lowest polymorph listed for this composition: 0 meV per atom

Unit cell a=4.257 b=4.257 c=4.474 alpha=90.00 beta=90.00 gamma=90.00
Sites, in units of the cell vectors:
Sc 0.000 0.000 0.000
Ti 0.000 0.500 0.500
Ti 0.500 0.000 0.500
Hg 0.500 0.500 0.000
C 0.000 0.000 0.500

---

no.,formation enthalpy at 0 K (eV per atom)
1,-0.411
2,-0.504